CsAlCo | OQMD via LeMat-Bulk | GGA-PBE | relaxed; electronic total energy = -2.733 eV/atom; volume = 27.37 A^3/atom
1.0
-3.6926 0.3419 3.1700
-2.3740 4.2286 0.5326
-4.5775 0.4492 -1.6265
Co Al Cs
1 1 1
direct
0.0000 0.0000 0.0000
0.2500 0.2500 0.2500
0.7500 0.7500 0.7500